1.
Material: SbPt3F
Method: DFT, PBE
State: optimized geometry

```
SbPt3F
1.0
-2.957 0.894 3.896
-0.857 -4.875 0.468
3.904 -0.393 3.054
Pt F Sb
3 1 1
direct
0.000 0.500 0.000
0.500 0.000 0.000
0.000 0.000 0.500
0.500 0.500 0.500
0.000 0.000 0.000
```

As for the total energy: -3.982 eV per atom. Its space group is No. 221. The uncorrected formation energy is 0.841 eV/atom. The calculation puts the energy relative to the lowest polymorph listed for this composition at 0.356 eV/atom.

2.
Material: CdTe2As2
Method: DFT, PBE
State: optimized geometry

```
CdTe2As2
1.0
-7.851 3.094 -1.345
-0.970 -5.332 -6.607
-1.438 -2.634 2.337
As Cd Te
4 2 4
direct
0.636 0.864 0.500
0.136 0.636 0.500
0.864 0.364 0.500
0.364 0.136 0.500
0.000 0.000 0.000
0.500 0.500 0.000
0.794 0.706 0.000
0.206 0.294 0.000
0.706 0.206 0.000
0.294 0.794 0.000
```

As for the total energy: -3.072 eV per atom. Its space group is No. 127. The uncorrected formation energy is 0.227 eV/atom. The calculation puts the energy relative to the lowest polymorph listed for this composition at 0.084 eV/atom.

3.
Material: LaTaOs2
Method: DFT, PBE
State: optimized geometry

```
LaTaOs2
1.0
-0.856 1.627 -2.219
0.851 -2.815 -2.392
-6.852 -2.661 0.693
Os Ta La
2 1 1
direct
0.000 0.000 0.073
0.500 0.500 0.231
0.000 0.000 0.426
0.500 0.500 0.770
```

As for the total energy: -9.483 eV per atom. Its space group is No. 25. The formation energy is 0.327 eV/atom.

4.
Material: PuUSe3
Method: DFT, PBE
State: optimized geometry

```
PuUSe3
1.0
-0.435 -4.876 -2.404
5.452 1.444 -3.916
2.405 -4.089 7.860
U Se Pu
2 6 2
direct
0.500 0.883 0.766
0.500 0.117 0.234
0.500 0.000 0.500
0.500 0.269 0.000
0.000 0.134 0.268
0.500 0.731 0.000
0.500 0.500 0.500
0.000 0.866 0.732
0.000 0.302 0.604
0.000 0.698 0.396
```

As for the total energy: -8.150 eV per atom. Its space group is No. 65. The uncorrected formation energy is -0.935 eV/atom. The calculation puts the energy relative to the lowest polymorph listed for this composition at 0.434 eV/atom.

5.
Material: MgAl2Sb
Method: DFT, PBE
State: optimized geometry

```
MgAl2Sb
1.0
5.056 -0.008 -0.053
4.115 2.938 -0.053
0.918 0.293 5.731
Al Mg Sb
2 1 1
direct
0.249 0.249 0.220
0.989 0.989 0.041
0.508 0.508 0.488
0.754 0.754 0.750
```

As for the total energy: -3.229 eV per atom. Its space group is No. 8. The uncorrected formation energy is 0.071 eV/atom.

6.
Material: CrCu2Cl
Method: DFT, PBE
State: optimized geometry

```
CrCu2Cl
1.0
-4.147 0.232 -5.915
-4.813 -4.336 3.205
-5.636 -0.115 -0.469
Cu Cl Cr
4 2 2
direct
0.875 0.857 0.750
0.143 0.625 0.250
0.607 0.125 0.250
0.375 0.393 0.750
0.250 0.750 0.500
0.500 0.500 0.000
0.000 0.000 0.000
0.750 0.250 0.500
```

As for the total energy: -4.481 eV per atom. Its space group is No. 122. The uncorrected formation energy is 0.435 eV/atom. The calculation puts the energy relative to the lowest polymorph listed for this composition at 0.289 eV/atom.

no.,volume (Å³/atom),magnetic moment (μB per formula unit),Fermi-level density of states (states/eV/cell)
1,24.58,0.00,2.78
2,27.77,0.00,5.32
3,20.16,0.00,4.88
4,31.89,3.94,38.49
5,21.38,0.00,0.73
6,15.83,3.39,5.13